VASP calculation (PBEsol) on a geometry-optimized Cd3AgGe structure.

Cell and atoms, written as CIF:
```
data_Cd3AgGe
_space_group_name_H-M_alt 'P m -3 m'
_space_group_IT_number 221
_space_group_name_Hall '-P 4 2 3'
_cell_length_a 5.0683
_cell_length_b 5.0683
_cell_length_c 5.0683
_cell_angle_alpha 90.00
_cell_angle_beta 90.00
_cell_angle_gamma 90.00
loop_
_atom_site_label
_atom_site_type_symbol
_atom_site_fract_x
_atom_site_fract_y
_atom_site_fract_z
Cd1 Cd 0.0000 0.0000 0.5000
Ag1 Ag 0.5000 0.5000 0.5000
Ge1 Ge 0.0000 0.0000 0.0000
```

Output
Total DFT energy (no corrections), eV per atom: -1.80
Spin magnetization, μB per formula unit: 0.0
V, Å³/f.u.: 130
Formation energy from the elements, eV/atom: 0.565